1.
# La4Au, optimized geometry, DFT PBE
data_La4Au
_chemical_formula_sum 'La4 Au1'
_cell_length_a 3.822
_cell_length_b 11.517
_cell_length_c 3.822
_cell_angle_alpha 80.44
_cell_angle_beta 89.97
_cell_angle_gamma 80.45
_space_group_name_H-M_alt 'P 1'
_space_group_IT_number 1
loop_
_space_group_symop_operation_xyz
'x,y,z'
loop_
_atom_site_label
_atom_site_fract_x
_atom_site_fract_y
_atom_site_fract_z
_atom_site_occupancy
Au1 0.000 0.000 0.000 1
La1 0.419 0.161 0.419 1
La2 0.805 0.389 0.805 1
La3 0.195 0.611 0.195 1
La4 0.581 0.839 0.581 1
# Space-group type: I4/mmm, No. 139
# Formation energy from the elements (eV/atom): -0.307
# ρ (g/cm3): 7.642
# Magnetic moment (Bohr magnetons per cell): 0.00


2.
# La7Au6, optimized geometry, DFT PBE
data_La7Au6
_chemical_formula_sum 'La7 Au6'
_cell_length_a 9.860
_cell_length_b 9.860
_cell_length_c 9.860
_cell_angle_alpha 41.44
_cell_angle_beta 41.44
_cell_angle_gamma 41.44
_space_group_name_H-M_alt 'P 1'
_space_group_IT_number 1
loop_
_space_group_symop_operation_xyz
'x,y,z'
loop_
_atom_site_label
_atom_site_fract_x
_atom_site_fract_y
_atom_site_fract_z
_atom_site_occupancy
Au1 0.950 0.950 0.950 1
Au2 0.050 0.050 0.050 1
Au3 0.848 0.848 0.848 1
Au4 0.152 0.152 0.152 1
Au5 0.665 0.665 0.665 1
Au6 0.335 0.335 0.335 1
La1 0.928 0.407 0.407 1
La2 0.407 0.407 0.928 1
La3 0.407 0.928 0.407 1
La4 0.072 0.593 0.593 1
La5 0.593 0.072 0.593 1
La6 0.593 0.593 0.072 1
La7 0.500 0.500 0.500 1
# Space-group type: R-3m, No. 166
# Formation energy from the elements (eV/atom): -0.181
# ρ (g/cm3): 9.429
# Magnetic moment (Bohr magnetons per cell): 0.00


Please write out number 1 again, unchanged.
# La4Au, optimized geometry, DFT PBE
data_La4Au
_chemical_formula_sum 'La4 Au1'
_cell_length_a 3.822
_cell_length_b 11.517
_cell_length_c 3.822
_cell_angle_alpha 80.44
_cell_angle_beta 89.97
_cell_angle_gamma 80.45
_space_group_name_H-M_alt 'P 1'
_space_group_IT_number 1
loop_
_space_group_symop_operation_xyz
'x,y,z'
loop_
_atom_site_label
_atom_site_fract_x
_atom_site_fract_y
_atom_site_fract_z
_atom_site_occupancy
Au1 0.000 0.000 0.000 1
La1 0.419 0.161 0.419 1
La2 0.805 0.389 0.805 1
La3 0.195 0.611 0.195 1
La4 0.581 0.839 0.581 1
# Space-group type: I4/mmm, No. 139
# Formation energy from the elements (eV/atom): -0.307
# ρ (g/cm3): 7.642
# Magnetic moment (Bohr magnetons per cell): 0.00


Repeat the first record exactly.
# La4Au, optimized geometry, DFT PBE
data_La4Au
_chemical_formula_sum 'La4 Au1'
_cell_length_a 3.822
_cell_length_b 11.517
_cell_length_c 3.822
_cell_angle_alpha 80.44
_cell_angle_beta 89.97
_cell_angle_gamma 80.45
_space_group_name_H-M_alt 'P 1'
_space_group_IT_number 1
loop_
_space_group_symop_operation_xyz
'x,y,z'
loop_
_atom_site_label
_atom_site_fract_x
_atom_site_fract_y
_atom_site_fract_z
_atom_site_occupancy
Au1 0.000 0.000 0.000 1
La1 0.419 0.161 0.419 1
La2 0.805 0.389 0.805 1
La3 0.195 0.611 0.195 1
La4 0.581 0.839 0.581 1
# Space-group type: I4/mmm, No. 139
# Formation energy from the elements (eV/atom): -0.307
# ρ (g/cm3): 7.642
# Magnetic moment (Bohr magnetons per cell): 0.00


Which value of ρ does entry 1 give? 7.642 g/cm3


Repeat the first record exactly.
# La4Au, optimized geometry, DFT PBE
data_La4Au
_chemical_formula_sum 'La4 Au1'
_cell_length_a 3.822
_cell_length_b 11.517
_cell_length_c 3.822
_cell_angle_alpha 80.44
_cell_angle_beta 89.97
_cell_angle_gamma 80.45
_space_group_name_H-M_alt 'P 1'
_space_group_IT_number 1
loop_
_space_group_symop_operation_xyz
'x,y,z'
loop_
_atom_site_label
_atom_site_fract_x
_atom_site_fract_y
_atom_site_fract_z
_atom_site_occupancy
Au1 0.000 0.000 0.000 1
La1 0.419 0.161 0.419 1
La2 0.805 0.389 0.805 1
La3 0.195 0.611 0.195 1
La4 0.581 0.839 0.581 1
# Space-group type: I4/mmm, No. 139
# Formation energy from the elements (eV/atom): -0.307
# ρ (g/cm3): 7.642
# Magnetic moment (Bohr magnetons per cell): 0.00